No. 1
First-principles (PBE+U) data for a relaxed structure of Mg2CrSbO6, as listed in the Alexandria database.

a b c (Å): 5.1825 7.6329 5.3632
angles (deg): 90.00 90.37 90.00
Fractional positions:
Mg 0.0046 0.2500 0.0372
Mg 0.4823 0.7500 0.4307
Mg 0.5177 0.2500 0.5693
Mg 0.9954 0.7500 0.9628
Cr 0.5000 0.0000 0.0000
Cr 0.5000 0.5000 0.0000
Sb 0.0000 0.0000 0.5000
Sb 0.0000 0.5000 0.5000
O 0.1376 0.2500 0.4279
O 0.1757 0.5697 0.1884
O 0.1757 0.9303 0.1884
O 0.3174 0.5698 0.6799
O 0.3174 0.9302 0.6799
O 0.3758 0.2500 0.9288
O 0.6242 0.7500 0.0712
O 0.6826 0.0698 0.3201
O 0.6826 0.4302 0.3201
O 0.8243 0.0697 0.8116
O 0.8243 0.4303 0.8116
O 0.8624 0.7500 0.5721

Calculated values
SG: P2_1/m
DFT total energy in eV per atom: -6.4980

No. 2
First-principles (PBE+U) data for a relaxed structure of Mg6CrSiO8, as listed in the Alexandria database.

a b c (Å): 4.3835 4.3835 8.5411
angles (deg): 90.00 90.00 90.00
Fractional positions:
Mg 0.0000 0.0000 0.0000
Mg 0.0000 0.0000 0.5000
Mg 0.0000 0.5000 0.2469
Mg 0.0000 0.5000 0.7531
Mg 0.5000 0.0000 0.2469
Mg 0.5000 0.0000 0.7531
Cr 0.5000 0.5000 0.0000
Si 0.5000 0.5000 0.5000
O 0.0000 0.0000 0.2511
O 0.0000 0.0000 0.7489
O 0.0000 0.5000 0.0000
O 0.0000 0.5000 0.5000
O 0.5000 0.0000 0.0000
O 0.5000 0.0000 0.5000
O 0.5000 0.5000 0.2434
O 0.5000 0.5000 0.7566

Calculated values
Polymorph energy (0 for the lowest one) in meV/atom: 7
SG: P4/mmm
DFT total energy in eV per atom: -6.1037

No. 3
First-principles (PBE+U) data for a relaxed structure of Mg3Cr2Si3O12, as listed in the Alexandria database.

a b c (Å): 10.1819 10.1819 10.1819
angles (deg): 109.47 109.47 109.47
Fractional positions:
Mg 0.1250 0.2500 0.3750
Mg 0.1250 0.3750 0.7500
Mg 0.2500 0.3750 0.1250
Mg 0.2500 0.8750 0.6250
Mg 0.3750 0.1250 0.2500
Mg 0.3750 0.7500 0.1250
Mg 0.6250 0.2500 0.8750
Mg 0.6250 0.8750 0.7500
Mg 0.7500 0.1250 0.3750
Mg 0.7500 0.6250 0.8750
Mg 0.8750 0.6250 0.2500
Mg 0.8750 0.7500 0.6250
Cr 0.0000 0.0000 0.0000
Cr 0.0000 0.0000 0.5000
Cr 0.0000 0.5000 0.0000
Cr 0.0000 0.5000 0.5000
Cr 0.5000 0.0000 0.0000
Cr 0.5000 0.0000 0.5000
Cr 0.5000 0.5000 0.0000
Cr 0.5000 0.5000 0.5000
Si 0.1250 0.7500 0.8750
Si 0.1250 0.8750 0.2500
Si 0.2500 0.1250 0.8750
Si 0.2500 0.6250 0.3750
Si 0.3750 0.2500 0.6250
Si 0.3750 0.6250 0.7500
Si 0.6250 0.3750 0.2500
Si 0.6250 0.7500 0.3750
Si 0.7500 0.3750 0.6250
Si 0.7500 0.8750 0.1250
Si 0.8750 0.1250 0.7500
Si 0.8750 0.2500 0.1250
O 0.0204 0.2115 0.1239
O 0.0204 0.3089 0.8965
O 0.0876 0.7115 0.6911
O 0.0876 0.8761 0.3965
O 0.1035 0.6239 0.4124
O 0.1035 0.9796 0.6911
O 0.1239 0.0204 0.2115
O 0.1239 0.6035 0.9124
O 0.1911 0.2115 0.5876
O 0.1911 0.4796 0.6035
O 0.2115 0.1239 0.0204
O 0.2115 0.5876 0.1911
O 0.2885 0.3089 0.9124
O 0.2885 0.4796 0.3761
O 0.3089 0.8965 0.0204
O 0.3089 0.9124 0.2885
O 0.3761 0.2885 0.4796
O 0.3761 0.5876 0.8965
O 0.3965 0.0876 0.8761
O 0.3965 0.8089 0.5204
O 0.4124 0.1035 0.6239
O 0.4124 0.8089 0.7885
O 0.4796 0.3761 0.2885
O 0.4796 0.6035 0.1911
O 0.5204 0.3965 0.8089
O 0.5204 0.6239 0.7115
O 0.5876 0.1911 0.2115
O 0.5876 0.8965 0.3761
O 0.6035 0.1911 0.4796
O 0.6035 0.9124 0.1239
O 0.6239 0.4124 0.1035
O 0.6239 0.7115 0.5204
O 0.6911 0.0876 0.7115
O 0.6911 0.1035 0.9796
O 0.7115 0.5204 0.6239
O 0.7115 0.6911 0.0876
O 0.7885 0.4124 0.8089
O 0.7885 0.8761 0.9796
O 0.8089 0.5204 0.3965
O 0.8089 0.7885 0.4124
O 0.8761 0.3965 0.0876
O 0.8761 0.9796 0.7885
O 0.8965 0.0204 0.3089
O 0.8965 0.3761 0.5876
O 0.9124 0.1239 0.6035
O 0.9124 0.2885 0.3089
O 0.9796 0.6911 0.1035
O 0.9796 0.7885 0.8761

Calculated values
SG: Ia-3d
DFT total energy in eV per atom: -7.3336

No. 4
First-principles (PBE+U) data for a relaxed structure of Mg6CrSiO8, as listed in the Alexandria database.

a b c (Å): 4.2833 4.2833 8.9536
angles (deg): 90.00 90.00 90.00
Fractional positions:
Mg 0.0000 0.0000 0.0000
Mg 0.0000 0.5000 0.2391
Mg 0.0000 0.5000 0.7609
Mg 0.5000 0.0000 0.2391
Mg 0.5000 0.0000 0.7609
Mg 0.5000 0.5000 0.0000
Cr 0.0000 0.0000 0.5000
Si 0.5000 0.5000 0.5000
O 0.0000 0.0000 0.2354
O 0.0000 0.0000 0.7646
O 0.0000 0.5000 0.0000
O 0.0000 0.5000 0.5000
O 0.5000 0.0000 0.0000
O 0.5000 0.0000 0.5000
O 0.5000 0.5000 0.2370
O 0.5000 0.5000 0.7630

Calculated values
Polymorph energy (0 for the lowest one) in meV/atom: 0
SG: P4/mmm
DFT total energy in eV per atom: -6.1104

No. 5
First-principles (PBE+U) data for a relaxed structure of MgCrSiO5, as listed in the Alexandria database.

a b c (Å): 5.3025 5.3025 6.9311
angles (deg): 104.89 104.89 104.41
Fractional positions:
Mg 0.1735 0.8265 0.7500
Mg 0.8265 0.1735 0.2500
Cr 0.5000 0.5000 0.0000
Cr 0.5000 0.5000 0.5000
Si 0.1739 0.8261 0.2500
Si 0.8261 0.1739 0.7500
O 0.1384 0.2262 0.9088
O 0.1721 0.6086 0.3808
O 0.2262 0.1384 0.4088
O 0.3914 0.8279 0.1192
O 0.4161 0.5839 0.7500
O 0.5839 0.4161 0.2500
O 0.6086 0.1721 0.8808
O 0.7738 0.8616 0.5912
O 0.8279 0.3914 0.6192
O 0.8616 0.7738 0.0912

Calculated values
SG: C2/c
DFT total energy in eV per atom: -7.1951

No. 6
First-principles (PBE+U) data for a relaxed structure of MgCrSi4O10, as listed in the Alexandria database.

a b c (Å): 7.3287 7.3287 14.9247
angles (deg): 90.00 90.00 90.00
Fractional positions:
Mg 0.2500 0.7500 0.0000
Mg 0.2500 0.7500 0.5000
Mg 0.7500 0.2500 0.0000
Mg 0.7500 0.2500 0.5000
Cr 0.2500 0.2500 0.0694
Cr 0.2500 0.2500 0.5694
Cr 0.7500 0.7500 0.4306
Cr 0.7500 0.7500 0.9306
Si 0.0102 0.5904 0.1450
Si 0.0102 0.9096 0.6450
Si 0.0904 0.5102 0.3550
Si 0.0904 0.9898 0.8550
Si 0.4096 0.5102 0.8550
Si 0.4096 0.9898 0.3550
Si 0.4898 0.5904 0.6450
Si 0.4898 0.9096 0.1450
Si 0.5102 0.0904 0.8550
Si 0.5102 0.4096 0.3550
Si 0.5904 0.0102 0.6450
Si 0.5904 0.4898 0.1450
Si 0.9096 0.0102 0.1450
Si 0.9096 0.4898 0.6450
Si 0.9898 0.0904 0.3550
Si 0.9898 0.4096 0.8550
O 0.0017 0.1902 0.8748
O 0.0017 0.3098 0.3748
O 0.0203 0.6640 0.4246
O 0.0203 0.8360 0.9246
O 0.0585 0.5585 0.2500
O 0.0585 0.9415 0.7500
O 0.1640 0.5203 0.0754
O 0.1640 0.9797 0.5754
O 0.1902 0.0017 0.3748
O 0.1902 0.4983 0.8748
O 0.3098 0.0017 0.8748
O 0.3098 0.4983 0.3748
O 0.3360 0.5203 0.5754
O 0.3360 0.9797 0.0754
O 0.4415 0.5585 0.7500
O 0.4415 0.9415 0.2500
O 0.4797 0.6640 0.9246
O 0.4797 0.8360 0.4246
O 0.4983 0.1902 0.3748
O 0.4983 0.3098 0.8748
O 0.5017 0.6902 0.1252
O 0.5017 0.8098 0.6252
O 0.5203 0.1640 0.5754
O 0.5203 0.3360 0.0754
O 0.5585 0.0585 0.7500
O 0.5585 0.4415 0.2500
O 0.6640 0.0203 0.9246
O 0.6640 0.4797 0.4246
O 0.6902 0.5017 0.6252
O 0.6902 0.9983 0.1252
O 0.8098 0.5017 0.1252
O 0.8098 0.9983 0.6252
O 0.8360 0.0203 0.4246
O 0.8360 0.4797 0.9246
O 0.9415 0.0585 0.2500
O 0.9415 0.4415 0.7500
O 0.9797 0.1640 0.0754
O 0.9797 0.3360 0.5754
O 0.9983 0.6902 0.6252
O 0.9983 0.8098 0.1252

Calculated values
SG: P4/ncc
DFT total energy in eV per atom: -7.6508

No. 7
First-principles (PBE+U) data for a relaxed structure of Mg6CrSnO8, as listed in the Alexandria database.

a b c (Å): 4.3987 4.3987 9.1256
angles (deg): 90.00 90.00 90.00
Fractional positions:
Mg 0.0000 0.0000 0.0000
Mg 0.0000 0.5000 0.2306
Mg 0.0000 0.5000 0.7694
Mg 0.5000 0.0000 0.2306
Mg 0.5000 0.0000 0.7694
Mg 0.5000 0.5000 0.0000
Cr 0.0000 0.0000 0.5000
Sn 0.5000 0.5000 0.5000
O 0.0000 0.0000 0.2293
O 0.0000 0.0000 0.7707
O 0.0000 0.5000 0.0000
O 0.0000 0.5000 0.5000
O 0.5000 0.0000 0.0000
O 0.5000 0.0000 0.5000
O 0.5000 0.5000 0.2276
O 0.5000 0.5000 0.7724

Calculated values
Polymorph energy (0 for the lowest one) in meV/atom: 0
SG: P4/mmm
DFT total energy in eV per atom: -5.9724

No. 8
First-principles (PBE+U) data for a relaxed structure of Mg6CrSnO8, as listed in the Alexandria database.

a b c (Å): 4.4953 4.4953 8.7683
angles (deg): 90.00 90.00 90.00
Fractional positions:
Mg 0.0000 0.0000 0.0000
Mg 0.0000 0.0000 0.5000
Mg 0.0000 0.5000 0.2387
Mg 0.0000 0.5000 0.7613
Mg 0.5000 0.0000 0.2387
Mg 0.5000 0.0000 0.7613
Cr 0.5000 0.5000 0.0000
Sn 0.5000 0.5000 0.5000
O 0.0000 0.0000 0.2488
O 0.0000 0.0000 0.7512
O 0.0000 0.5000 0.0000
O 0.0000 0.5000 0.5000
O 0.5000 0.0000 0.0000
O 0.5000 0.0000 0.5000
O 0.5000 0.5000 0.2313
O 0.5000 0.5000 0.7687

Calculated values
Polymorph energy (0 for the lowest one) in meV/atom: 16
SG: P4/mmm
DFT total energy in eV per atom: -5.9566

Please write out number 7 again, unchanged.
First-principles (PBE+U) data for a relaxed structure of Mg6CrSnO8, as listed in the Alexandria database.

a b c (Å): 4.3987 4.3987 9.1256
angles (deg): 90.00 90.00 90.00
Fractional positions:
Mg 0.0000 0.0000 0.0000
Mg 0.0000 0.5000 0.2306
Mg 0.0000 0.5000 0.7694
Mg 0.5000 0.0000 0.2306
Mg 0.5000 0.0000 0.7694
Mg 0.5000 0.5000 0.0000
Cr 0.0000 0.0000 0.5000
Sn 0.5000 0.5000 0.5000
O 0.0000 0.0000 0.2293
O 0.0000 0.0000 0.7707
O 0.0000 0.5000 0.0000
O 0.0000 0.5000 0.5000
O 0.5000 0.0000 0.0000
O 0.5000 0.0000 0.5000
O 0.5000 0.5000 0.2276
O 0.5000 0.5000 0.7724

Calculated values
Polymorph energy (0 for the lowest one) in meV/atom: 0
SG: P4/mmm
DFT total energy in eV per atom: -5.9724

Look up the DFT total energy of the third one. -7.3336 eV per atom